A relaxed structure of LiSnBiRh, computed with PBE.

Properties
The total magnetic moment is 0.0 μB/cell. The density of states at the Fermi level is 14.82 states/eV per cell. The calculation puts the formation energy at -0.274 eV per atom. As for the total energy: -4.5615 eV per atom.

a = 6.799 Å, b = 6.799 Å, c = 6.799 Å
α = 90.00°, β = 90.00°, γ = 90.00°
Space group F-43m (No. 216)
Asymmetric unit:
Li  0.000  0.000  0.000 [4 per cell]
Sn  0.250  0.250  0.250 [4 per cell]
Bi  0.250  0.250  0.750 [4 per cell]
Rh  0.000  0.000  0.500 [4 per cell]

A relaxed structure of LiSn2BiRh, computed with PBE.

Properties
The total magnetic moment is 0.0 μB/cell. The density of states at the Fermi level is 2.48 states/eV per cell. The calculation puts the formation energy at 0.702 eV per atom. As for the total energy: -3.5282 eV per atom.

a = 5.865 Å, b = 5.865 Å, c = 5.051 Å
α = 90.00°, β = 90.00°, γ = 90.00°
Space group P4/mmm (No. 123)
Asymmetric unit:
Li  0.000  0.000  0.000 [1 per cell]
Sn  0.000  0.500  0.500 [2 per cell]
Bi  0.500  0.500  0.500 [1 per cell]
Rh  0.500  0.500  0.000 [1 per cell]

A relaxed structure of SrLiBiRh, computed with PBE.

Properties
The total magnetic moment is 0.0 μB/cell. The density of states at the Fermi level is 18.44 states/eV per cell. The calculation puts the formation energy at -0.365 eV per atom. As for the total energy: -4.0724 eV per atom.

a = 7.062 Å, b = 7.062 Å, c = 7.062 Å
α = 90.00°, β = 90.00°, γ = 90.00°
Space group F-43m (No. 216)
Asymmetric unit:
Sr  0.000  0.000  0.000 [4 per cell]
Li  0.250  0.250  0.250 [4 per cell]
Bi  0.000  0.000  0.500 [4 per cell]
Rh  0.250  0.250  0.750 [4 per cell]

A relaxed structure of Sr2Li3Bi4Rh, computed with PBE.

Properties
The total magnetic moment is 0.0 μB/cell. The density of states at the Fermi level is 4.17 states/eV per cell. The calculation puts the formation energy at -0.543 eV per atom. As for the total energy: -3.7414 eV per atom.

a = 4.898 Å, b = 4.898 Å, c = 10.949 Å
α = 90.00°, β = 90.00°, γ = 90.00°
Space group P-4m2 (No. 115)
Asymmetric unit:
Sr  0.000  0.500  0.237 [2 per cell]
Li  0.000  0.000  0.000 [1 per cell]
Li  0.000  0.500  0.634 [2 per cell]
Bi  0.000  0.000  0.500 [1 per cell]
Bi  0.000  0.500  0.883 [2 per cell]
Bi  0.500  0.500  0.500 [1 per cell]
Rh  0.500  0.500  0.000 [1 per cell]

A relaxed structure of LiTbBiRh, computed with PBE.

Properties
The total magnetic moment is 0.0 μB/cell. The density of states at the Fermi level is 2.38 states/eV per cell. The calculation puts the formation energy at -0.668 eV per atom. As for the total energy: -5.1120 eV per atom.

a = 6.793 Å, b = 6.793 Å, c = 6.793 Å
α = 90.00°, β = 90.00°, γ = 90.00°
Space group F-43m (No. 216)
Asymmetric unit:
Li  0.000  0.000  0.000 [4 per cell]
Tb  0.250  0.250  0.250 [4 per cell]
Bi  0.250  0.250  0.750 [4 per cell]
Rh  0.000  0.000  0.500 [4 per cell]

A relaxed structure of LiThBiRh, computed with PBE.

Properties
The total magnetic moment is 0.0 μB/cell. The density of states at the Fermi level is 14.59 states/eV per cell. The calculation puts the formation energy at -0.485 eV per atom. As for the total energy: -5.6262 eV per atom.

a = 6.990 Å, b = 6.990 Å, c = 6.990 Å
α = 90.00°, β = 90.00°, γ = 90.00°
Space group F-43m (No. 216)
Asymmetric unit:
Li  0.000  0.000  0.000 [4 per cell]
Th  0.250  0.250  0.250 [4 per cell]
Bi  0.250  0.250  0.750 [4 per cell]
Rh  0.000  0.000  0.500 [4 per cell]

A relaxed structure of LiTmBiRh, computed with PBE.

Properties
The total magnetic moment is 0.0 μB/cell. The density of states at the Fermi level is 2.05 states/eV per cell. The calculation puts the formation energy at -0.654 eV per atom. As for the total energy: -5.0583 eV per atom.

a = 6.734 Å, b = 6.734 Å, c = 6.734 Å
α = 90.00°, β = 90.00°, γ = 90.00°
Space group F-43m (No. 216)
Asymmetric unit:
Li  0.000  0.000  0.000 [4 per cell]
Tm  0.250  0.250  0.750 [4 per cell]
Bi  0.250  0.250  0.250 [4 per cell]
Rh  0.000  0.000  0.500 [4 per cell]

A relaxed structure of LiVBi2Rh, computed with PBE.

Properties
The total magnetic moment is 0.0 μB/cell. The density of states at the Fermi level is 7.49 states/eV per cell. The calculation puts the formation energy at 0.892 eV per atom. As for the total energy: -4.3371 eV per atom.

a = 4.855 Å, b = 4.855 Å, c = 4.215 Å
α = 90.00°, β = 90.00°, γ = 90.00°
Space group P4/mmm (No. 123)
Asymmetric unit:
Li  0.000  0.000  0.000 [1 per cell]
V  0.000  0.000  0.500 [1 per cell]
Bi  0.000  0.500  0.000 [2 per cell]
Rh  0.500  0.500  0.500 [1 per cell]

A relaxed structure of LiYBiRh, computed with PBE.

Properties
The total magnetic moment is 0.0 μB/cell. The density of states at the Fermi level is 2.13 states/eV per cell. The calculation puts the formation energy at -0.663 eV per atom. As for the total energy: -5.5652 eV per atom.

a = 6.790 Å, b = 6.790 Å, c = 6.790 Å
α = 90.00°, β = 90.00°, γ = 90.00°
Space group F-43m (No. 216)
Asymmetric unit:
Li  0.000  0.000  0.000 [4 per cell]
Y  0.250  0.250  0.250 [4 per cell]
Bi  0.250  0.250  0.750 [4 per cell]
Rh  0.000  0.000  0.500 [4 per cell]

A relaxed structure of LiZnBiRh, computed with PBE.

Properties
The total magnetic moment is 0.0 μB/cell. The density of states at the Fermi level is 8.13 states/eV per cell. The calculation puts the formation energy at -0.268 eV per atom. As for the total energy: -3.8732 eV per atom.

a = 6.492 Å, b = 6.492 Å, c = 6.492 Å
α = 90.00°, β = 90.00°, γ = 90.00°
Space group F-43m (No. 216)
Asymmetric unit:
Li  0.000  0.000  0.000 [4 per cell]
Zn  0.250  0.250  0.250 [4 per cell]
Bi  0.250  0.250  0.750 [4 per cell]
Rh  0.000  0.000  0.500 [4 per cell]

A relaxed structure of LiBiRu2, computed with PBE.

Properties
The total magnetic moment is 4.3 μB/cell. The density of states at the Fermi level is 10.46 states/eV per cell. The calculation puts the formation energy at 0.477 eV per atom. As for the total energy: -5.6101 eV per atom.

a = 3.988 Å, b = 3.988 Å, c = 18.284 Å
α = 90.00°, β = 90.00°, γ = 90.00°
Space group I-42d (No. 122)
Asymmetric unit:
Li  0.000  0.000  0.000 [4 per cell]
Bi  0.000  0.000  0.500 [4 per cell]
Ru  0.173  0.250  0.125 [8 per cell]

A relaxed structure of Li2Bi2Ru, computed with PBE.

Properties
The total magnetic moment is 0.7 μB/cell. The density of states at the Fermi level is 4.30 states/eV per cell. The calculation puts the formation energy at -0.002 eV per atom. As for the total energy: -4.1749 eV per atom.

a = 7.102 Å, b = 7.102 Å, c = 4.371 Å
α = 90.00°, β = 90.00°, γ = 90.00°
Space group P4/mbm (No. 127)
Asymmetric unit:
Li  0.159  0.341  0.000 [4 per cell]
Bi  0.152  0.652  0.500 [4 per cell]
Ru  0.000  0.000  0.500 [2 per cell]